Density functional theory data (PBE) for crystalline Ta2Nb5Au at its relaxed geometry.

## Properties
uncorrected energy = -155.2 eV for the cell shown
ΔE_f = -32 meV per atom

Cell lengths 6.6222, 6.6222, 6.5915 Å; angles 90.00, 90.00, 90.00 degrees
Space group I4/mmm (No. 139)
Inequivalent atoms, fractional coordinates:
Ta 0.0000 0.5000 0.0000 [4 per cell]
Nb 0.0000 0.0000 0.0000 [2 per cell]
Nb 0.2500 0.2500 0.2500 [8 per cell]
Au 0.0000 0.0000 0.5000 [2 per cell]


Density functional theory data (PBE) for crystalline KAs2OsO8 at its relaxed geometry.

## Properties
uncorrected energy = -222.1 eV for the cell shown
raw formation energy = -1.062 eV/atom

Cell lengths 5.4100, 5.4100, 26.5762 Å; angles 90.00, 90.00, 120.00 degrees
Space group R32 (No. 155, hexagonal axes)
Inequivalent atoms, fractional coordinates:
K 0.0000 0.0000 0.0000 [3 per cell]
As 0.0000 0.0000 0.2349 [6 per cell]
Os 0.0000 0.0000 0.5000 [3 per cell]
O 0.0000 0.0000 0.2974 [6 per cell]
O 0.0115 0.4699 0.1205 [18 per cell]


The highest uncorrected energy belongs to which entry? Ta2Nb5Au


Which of these has the highest uncorrected energy? Ta2Nb5Au


Copy entry 1 word for word.
Density functional theory data (PBE) for crystalline Ta2Nb5Au at its relaxed geometry.

## Properties
uncorrected energy = -155.2 eV for the cell shown
ΔE_f = -32 meV per atom

Cell lengths 6.6222, 6.6222, 6.5915 Å; angles 90.00, 90.00, 90.00 degrees
Space group I4/mmm (No. 139)
Inequivalent atoms, fractional coordinates:
Ta 0.0000 0.5000 0.0000 [4 per cell]
Nb 0.0000 0.0000 0.0000 [2 per cell]
Nb 0.2500 0.2500 0.2500 [8 per cell]
Au 0.0000 0.0000 0.5000 [2 per cell]


Number 1 is which compound? Ta2Nb5Au